(1)
Computed, not measured: a relaxed TiPCCl2 crystal at the PBE level of DFT.

```
TiPCCl2
1.0
-3.017 3.363 -1.037
-3.337 -3.167 -0.566
-1.212 0.409 4.854
P C Cl Ti
1 1 2 1
Direct
0.000 0.000 0.500
0.500 0.500 0.500
0.000 0.500 0.000
0.500 0.000 0.000
0.000 0.000 0.000
```

Calculated values
- E above lowest polymorph (meV per atom) = 0
- E_form (uncorrected) (eV per atom) = 0.890



(2)
Computed, not measured: a relaxed CsLiMg14 crystal at the PBE level of DFT.

```
CsLiMg14
1.0
-0.674 6.552 -0.182
-5.085 -3.787 1.794
3.189 0.615 10.336
Cs Li Mg
1 1 14
Direct
0.000 0.000 0.500
0.000 0.000 0.000
0.994 0.497 0.000
0.009 0.504 0.500
0.503 0.006 0.000
0.496 0.991 0.500
0.503 0.497 0.000
0.496 0.504 0.500
0.171 0.829 0.230
0.171 0.829 0.770
0.171 0.342 0.230
0.171 0.342 0.770
0.658 0.829 0.230
0.658 0.829 0.770
0.667 0.333 0.257
0.667 0.333 0.743
```

Calculated values
- E_form (eV/f.u.) = 2.486
- E above lowest polymorph (meV per atom) = 9



(3)
Computed, not measured: a relaxed PrEuInIr crystal at the PBE level of DFT.

```
PrEuInIr
1.0
5.244 0.000 0.000
2.622 4.541 0.000
2.622 1.514 4.282
Eu Pr Ir In
1 1 1 1
Direct
0.500 0.500 0.500
0.000 0.000 0.000
0.750 0.750 0.750
0.250 0.250 0.250
```

Calculated values
- E_form (eV/f.u.) = -1.369



(4)
Computed, not measured: a relaxed NpBr3Cl crystal at the PBE level of DFT.

```
NpBr3Cl
1.0
7.682 0.000 0.000
3.841 6.652 0.000
3.841 2.217 7.467
Np Br Cl
2 6 2
Direct
0.194 0.194 0.417
0.806 0.806 0.583
0.124 0.388 0.668
0.820 0.124 0.668
0.612 0.180 0.332
0.180 0.876 0.332
0.876 0.612 0.332
0.388 0.820 0.668
0.306 0.306 0.081
0.694 0.694 0.919
```

Calculated values
- E above lowest polymorph (meV per atom) = 27
- E_form (uncorrected) (eV per atom) = -1.269



(5)
Computed, not measured: a relaxed Co2As2Br crystal at the PBE level of DFT.

```
Co2As2Br
1.0
3.598 0.000 0.000
0.000 3.598 0.000
1.799 1.799 7.549
As Co Br
2 2 1
Direct
0.346 0.346 0.308
0.654 0.654 0.692
0.750 0.250 0.500
0.250 0.750 0.500
0.000 0.000 0.000
```

Calculated values
- E above lowest polymorph (meV per atom) = 0
- E_form (uncorrected) (eV per atom) = -0.063



(6)
Computed, not measured: a relaxed RbSrSb2 crystal at the PBE level of DFT.

```
RbSrSb2
1.0
-2.279 -2.532 3.635
-3.305 -2.033 -3.489
3.257 -4.008 -0.750
Sb Rb Sr
2 1 1
Direct
0.000 0.000 0.500
0.000 0.500 0.000
0.500 0.500 0.500
0.500 0.000 0.000
```

Calculated values
- E above lowest polymorph (meV per atom) = 178
- E_form (uncorrected) (eV per atom) = -0.479



(7)
Computed, not measured: a relaxed Ba6PdPt2I crystal at the PBE level of DFT.

```
Ba6PdPt2I
1.0
-5.045 -1.674 -6.216
2.298 -5.251 -5.832
-3.935 -8.075 -0.016
Ba Pd Pt I
6 1 2 1
Direct
0.602 0.257 0.232
0.257 0.908 0.232
0.908 0.602 0.232
0.366 0.736 0.755
0.736 0.143 0.755
0.143 0.366 0.755
0.325 0.325 0.026
0.508 0.508 0.477
0.003 0.003 0.991
0.813 0.813 0.560
```

Calculated values
- E_form (uncorrected) (eV per atom) = -0.701



(8)
Computed, not measured: a relaxed BeNb2Al crystal at the PBE level of DFT.

```
BeNb2Al
1.0
-1.613 2.346 1.593
-2.767 -0.706 1.579
2.232 -0.877 6.892
Be Nb Al
1 2 1
Direct
0.000 0.000 0.000
0.267 0.267 0.199
0.733 0.733 0.801
0.500 0.500 0.500
```

Calculated values
- E_form (eV/f.u.) = 0.768
- E above lowest polymorph (meV per atom) = 413



| no. | magnetization (μB/cell) |
| --- | --- |
| 1 | 0.98 |
| 2 | 0.00 |
| 3 | 6.84 |
| 4 | 6.00 |
| 5 | 0.00 |
| 6 | 0.00 |
| 7 | 0.00 |
| 8 | 0.00 |